{"formula": "MnZn2CuO4", "functional": "PBE+U", "state": "relaxed", "m_tot_mub_per_atom": 0.500, "n_ef_per_ev_fu": 4.00, "e_tot_ry_per_atom": -0.39946, "space_group": "I-42m", "rho_g_cm3": 5.2, "lattice_angstrom": [[-2.287, 2.287, 4.796], [2.287, -2.287, 4.796], [2.287, 2.287, -4.796]], "species": ["Mn", "Zn", "Zn", "Cu", "O", "O", "O", "O"], "frac_coords": [[0.000, 0.000, 0.000], [0.250, 0.750, 0.500], [0.750, 0.250, 0.500], [0.500, 0.500, 0.000], [0.125, 0.619, 0.000], [0.381, 0.381, 0.506], [0.619, 0.125, 0.000], [0.875, 0.875, 0.494]]}